No. 1
Computed, not measured: a relaxed Cs2Ag2Au crystal at the GGA-PBE level of DFT.

```
Cs2Ag2Au
1.0
7.047 0.000 0.000
0.000 7.047 0.000
3.524 3.524 4.105
Cs Au Ag
2 1 2
direct
0.750 0.250 0.500
0.250 0.750 0.500
0.000 0.000 0.000
0.335 0.335 0.330
0.665 0.665 0.670
```

Relative energy among the computed polymorphs   3.0 kJ per mole of atoms
ΔH_f (0 K)   -1 kJ/mol of atoms

=====

No. 2
Computed, not measured: a relaxed Cs12Ag2Au5 crystal at the GGA-PBE level of DFT.

```
Cs12Ag2Au5
1.0
9.641 0.000 0.000
-4.821 9.130 -2.775
0.000 0.573 13.128
Cs Ag Au
12 2 5
direct
0.910 0.820 0.207
0.052 0.631 0.848
0.579 0.631 0.848
0.126 0.738 0.510
0.612 0.738 0.510
0.547 0.094 0.847
0.453 0.906 0.153
0.874 0.262 0.490
0.388 0.262 0.490
0.948 0.369 0.152
0.421 0.369 0.152
0.090 0.180 0.793
0.850 0.000 0.000
0.150 0.000 0.000
0.259 0.517 0.639
0.266 0.531 0.004
0.000 0.000 0.500
0.734 0.469 0.996
0.741 0.483 0.361
```

ΔH_f (0 K)   -15 kJ/mol of atoms

=====

No. 3
Computed, not measured: a relaxed Cs2Ag2Au crystal at the GGA-PBE level of DFT.

```
Cs2Ag2Au
1.0
-2.720 6.958 1.807
-3.171 0.573 -6.979
-4.772 -2.378 1.973
Cs Ag Au
4 4 2
direct
0.683 0.183 0.500
0.817 0.683 0.500
0.317 0.817 0.500
0.183 0.317 0.500
0.868 0.368 0.000
0.632 0.868 0.000
0.132 0.632 0.000
0.368 0.132 0.000
0.000 0.000 0.000
0.500 0.500 0.000
```

Relative energy among the computed polymorphs   9.3 kJ per mole of atoms
ΔH_f (0 K)   5 kJ/mol of atoms

=====

No. 4
Computed, not measured: a relaxed Cs11AgAu2 crystal at the GGA-PBE level of DFT.

```
Cs11AgAu2
1.0
-8.480 -11.844 -3.042
-7.242 5.370 11.839
1.438 7.311 -12.881
Cs Ag Au
22 2 4
direct
0.680 0.919 0.344
0.320 0.081 0.656
0.575 0.336 0.656
0.925 0.581 0.761
0.425 0.664 0.344
0.075 0.419 0.239
0.820 0.164 0.239
0.180 0.836 0.761
0.500 0.500 0.000
0.000 0.000 0.000
0.779 0.872 0.651
0.221 0.128 0.349
0.279 0.628 0.907
0.721 0.372 0.093
0.950 0.767 0.405
0.050 0.233 0.595
0.362 0.546 0.595
0.138 0.733 0.184
0.638 0.454 0.405
0.862 0.267 0.816
0.550 0.954 0.816
0.450 0.046 0.184
0.750 0.250 0.500
0.250 0.750 0.500
0.673 0.646 0.319
0.327 0.354 0.681
0.173 0.854 0.027
0.827 0.146 0.973
```

ΔH_f (0 K)   -5 kJ/mol of atoms

=====

No. 5
Computed, not measured: a relaxed Cs6AgAu crystal at the GGA-PBE level of DFT.

```
Cs6AgAu
1.0
9.133 0.000 0.000
-4.566 7.909 0.000
0.000 0.000 17.563
Cs Ag Au
12 2 2
direct
0.329 0.342 0.373
0.671 0.658 0.627
0.013 0.671 0.373
0.329 0.987 0.127
0.987 0.329 0.627
0.671 0.013 0.873
0.658 0.987 0.373
0.013 0.342 0.127
0.342 0.013 0.627
0.987 0.658 0.873
0.658 0.671 0.127
0.342 0.329 0.873
0.000 0.000 0.500
0.000 0.000 0.000
0.333 0.667 0.250
0.667 0.333 0.750
```

Relative energy among the computed polymorphs   0.4 kJ per mole of atoms
ΔH_f (0 K)   -7 kJ/mol of atoms

=====

No. 6
Computed, not measured: a relaxed Cs3AgAu crystal at the GGA-PBE level of DFT.

```
Cs3AgAu
1.0
-1.624 6.256 -2.375
-3.912 1.096 5.560
5.429 2.661 3.296
Cs Au Ag
3 1 1
direct
0.000 0.500 0.000
0.000 0.000 0.500
0.500 0.000 0.000
0.000 0.000 0.000
0.500 0.500 0.500
```

Relative energy among the computed polymorphs   10.5 kJ per mole of atoms
ΔH_f (0 K)   0 kJ/mol of atoms

=====

No. 7
Computed, not measured: a relaxed Cs5Ag2Au2 crystal at the GGA-PBE level of DFT.

```
Cs5Ag2Au2
1.0
8.439 0.000 -3.288
-1.423 8.993 -3.652
-0.037 -0.330 12.378
Cs Ag Au
10 4 4
direct
0.238 0.267 0.885
0.353 0.733 0.115
0.738 0.118 0.885
0.853 0.882 0.115
0.265 0.340 0.296
0.969 0.660 0.704
0.765 0.456 0.296
0.469 0.544 0.704
0.733 0.112 0.500
0.233 0.888 0.500
0.499 0.090 0.134
0.365 0.910 0.866
0.999 0.544 0.134
0.865 0.456 0.866
0.149 0.000 0.000
0.649 0.500 0.000
0.094 0.269 0.500
0.594 0.731 0.500
```

ΔH_f (0 K)   -12 kJ/mol of atoms

=====

No. 8
Computed, not measured: a relaxed CsAgAu2 crystal at the GGA-PBE level of DFT.

```
CsAgAu2
1.0
5.434 0.000 0.000
2.717 4.706 0.000
2.717 1.569 4.437
Cs Au Ag
1 2 1
direct
0.500 0.500 0.500
0.250 0.250 0.250
0.750 0.750 0.750
0.000 0.000 0.000
```

Relative energy among the computed polymorphs   53.3 kJ per mole of atoms
ΔH_f (0 K)   36 kJ/mol of atoms

=====

No. 9
Computed, not measured: a relaxed Cs2AgAu crystal at the GGA-PBE level of DFT.

```
Cs2AgAu
1.0
4.424 0.000 0.000
0.000 4.424 0.000
0.000 0.000 8.863
Cs Au Ag
2 1 1
direct
0.000 0.000 0.740
0.000 0.000 0.260
0.500 0.500 0.500
0.500 0.500 0.000
```

Relative energy among the computed polymorphs   2.9 kJ per mole of atoms
ΔH_f (0 K)   -12 kJ/mol of atoms

=====

No. 10
Computed, not measured: a relaxed Cs2AgAu crystal at the GGA-PBE level of DFT.

```
Cs2AgAu
1.0
9.591 0.000 0.000
0.000 9.591 0.000
4.795 4.795 4.982
Cs Au Ag
4 2 2
direct
0.639 0.125 0.250
0.111 0.625 0.250
0.375 0.361 0.750
0.875 0.889 0.750
0.000 0.000 0.000
0.750 0.250 0.500
0.500 0.500 0.000
0.250 0.750 0.500
```

Relative energy among the computed polymorphs   11.7 kJ per mole of atoms
ΔH_f (0 K)   -4 kJ/mol of atoms

=====

No. 11
Computed, not measured: a relaxed Cs2AgAu2F6 crystal at the GGA-PBE level of DFT.

```
Cs2AgAu2F6
1.0
-5.356 1.518 -2.498
-0.437 -4.457 5.680
1.986 7.596 0.357
Cs Ag Au F
2 1 2 6
direct
0.741 0.482 0.164
0.259 0.518 0.836
0.500 0.000 0.500
0.908 0.815 0.763
0.092 0.185 0.237
0.759 0.519 0.789
0.223 0.969 0.290
0.254 0.031 0.710
0.777 0.031 0.710
0.746 0.969 0.290
0.241 0.481 0.211
```

Raw formation energy   -1.483 eV/atom

=====

No. 12
Computed, not measured: a relaxed Cs2AgAuF6 crystal at the GGA-PBE level of DFT.

```
Cs2AgAuF6
1.0
6.381 0.000 0.000
0.000 6.381 0.000
3.191 3.191 5.004
Cs Ag Au F
2 1 1 6
direct
0.750 0.250 0.500
0.250 0.750 0.500
0.000 0.000 0.000
0.500 0.500 0.000
0.213 0.213 0.574
0.725 0.725 0.000
0.275 0.725 0.000
0.725 0.275 0.000
0.275 0.275 0.000
0.787 0.787 0.426
```

Raw formation energy   -1.830 eV/atom